Pa2GaPt3 | PBE | relaxed

Values from the calculation:
Space group: Fmmm, No. 69
Energy, eV/atom: -7.643

POSCAR file:
```
Pa2GaPt3
1.0
0.000 4.571 7.925
3.233 0.000 7.925
3.233 4.571 0.000
Pa Ga Pt
4 2 6
direct
0.228 0.772 0.772
0.250 0.250 0.250
0.750 0.750 0.750
0.772 0.228 0.228
0.334 0.334 0.666
0.666 0.666 0.334
0.173 0.173 0.827
0.177 0.650 0.350
0.350 0.823 0.177
0.650 0.177 0.823
0.823 0.350 0.650
0.827 0.827 0.173
```